! Sm2Ho12Th | Alexandria via LeMat-Bulk | GGA-PBE | relaxed; values from VASP
&SYSTEM
  ibrav = 0, nat = 30, ntyp = 3
/
ATOMIC_SPECIES
Sm 150.36 Sm.upf
Ho 164.93 Ho.upf
Th 232.04 Th.upf
ATOMIC_POSITIONS angstrom
Sm 0.8537 0.0000 5.5224
Sm 0.1741 0.0000 18.5936
Sm 4.3790 0.0000 5.5029
Sm 3.6994 0.0000 18.5741
Ho -1.5046 0.0000 15.1472
Ho 1.0185 2.8573 10.2467
Ho -1.6001 0.0000 22.2746
Ho 0.1656 2.8153 22.7669
Ho 2.6231 2.8342 4.0943
Ho 2.6863 2.8403 7.2269
Ho 1.8668 2.8403 16.8696
Ho 1.9300 2.8342 20.0022
Ho 4.3875 2.8153 1.3296
Ho 2.6145 0.0000 1.7358
Ho 3.5346 2.8573 13.8498
Ho 2.5455 0.0000 8.9723
Ho 2.0077 0.0000 15.1242
Ho 1.0185 -2.8573 10.2467
Ho 1.9386 0.0000 22.3607
Ho 0.1656 -2.8153 22.7669
Ho 2.6231 -2.8342 4.0943
Ho 2.6863 -2.8403 7.2269
Ho 1.8668 -2.8403 16.8696
Ho 1.9300 -2.8342 20.0022
Ho 4.3875 -2.8153 1.3296
Ho 6.1533 0.0000 1.8219
Ho 3.5346 -2.8573 13.8498
Ho 6.0578 0.0000 8.9493
Th 0.5432 0.0000 12.0188
Th 4.0100 0.0000 12.0776
CELL_PARAMETERS angstrom
3.5085 -5.6905 0.0000
3.5085 5.6905 0.0000
-2.4639 0.0000 24.0965
! calculated volume = 32.072 Å³/atom
! energy = -4.640 eV per atom
! N(E_F) = 22.1 states/eV/f.u.
! formation energy from the elements = 145.8 meV/atom


! Zr2ScIn | Alexandria via LeMat-Bulk | GGA-PBE | relaxed; values from VASP
&SYSTEM
  ibrav = 0, nat = 4, ntyp = 3
/
ATOMIC_SPECIES
Zr 91.22 Zr.upf
Sc 44.96 Sc.upf
In 114.82 In.upf
ATOMIC_POSITIONS angstrom
Zr 0.0000 2.2250 0.0000
Zr 2.2250 0.0000 0.0000
Sc 0.0000 0.0000 2.2639
In 2.2250 2.2250 2.2639
CELL_PARAMETERS angstrom
4.4501 0.0000 0.0000
0.0000 4.4501 0.0000
0.0000 0.0000 4.5278
! calculated volume = 22.416 Å³/atom
! energy = -6.784 eV per atom
! N(E_F) = 5.2 states/eV/f.u.
! formation energy from the elements = -242.5 meV/atom


! MoPbCl2 | Alexandria via LeMat-Bulk | GGA-PBE | relaxed; values from VASP
&SYSTEM
  ibrav = 0, nat = 4, ntyp = 3
/
ATOMIC_SPECIES
Mo 95.94 Mo.upf
Pb 207.20 Pb.upf
Cl 35.45 Cl.upf
ATOMIC_POSITIONS angstrom
Mo 0.0000 0.0000 0.0000
Pb 0.0000 0.0000 5.3101
Cl 1.5521 1.5521 1.4838
Cl 1.5521 1.5521 9.1364
CELL_PARAMETERS angstrom
3.1042 0.0000 0.0000
0.0000 3.1042 0.0000
0.0000 0.0000 10.6202
! calculated volume = 25.583 Å³/atom
! energy above the lowest structure with this stoichiometry = 0.3419 eV/atom
! energy = -4.431 eV per atom
! N(E_F) = 3.5 states/eV/f.u.


! V3TcP | Alexandria via LeMat-Bulk | GGA-PBE | relaxed; values from VASP
&SYSTEM
  ibrav = 0, nat = 5, ntyp = 3
/
ATOMIC_SPECIES
V 50.94 V.upf
Tc 98.00 Tc.upf
P 30.97 P.upf
ATOMIC_POSITIONS angstrom
V 0.0000 0.0000 2.1345
V 0.0000 2.1345 0.0000
V 2.1345 0.0000 0.0000
Tc 2.1345 2.1345 2.1345
P 0.0000 0.0000 0.0000
CELL_PARAMETERS angstrom
4.2690 0.0000 0.0000
0.0000 4.2690 0.0000
0.0000 0.0000 4.2690
! calculated volume = 15.560 Å³/atom
! energy above the lowest structure with this stoichiometry = 0.6017 eV/atom
! energy = -8.224 eV per atom
! N(E_F) = 5.6 states/eV/f.u.
! formation energy from the elements = 402.7 meV/atom


! Cs3RbP2S8 | Alexandria via LeMat-Bulk | GGA-PBE | relaxed; values from VASP
&SYSTEM
  ibrav = 0, nat = 14, ntyp = 4
/
ATOMIC_SPECIES
Cs 132.91 Cs.upf
Rb 85.47 Rb.upf
P 30.97 P.upf
S 32.06 S.upf
ATOMIC_POSITIONS angstrom
Cs 0.0000 0.0000 0.0000
Cs 0.0000 4.1814 8.5115
Cs 3.6212 2.0907 2.9609
Rb 0.0000 0.0000 5.7362
P 0.0000 4.1814 2.6186
P 3.6212 2.0907 8.8539
S 0.0000 2.2333 3.2143
S -1.6871 5.1555 3.2143
S 0.0000 4.1814 0.5738
S 1.9341 1.1167 8.2582
S 1.6871 5.1555 3.2143
S 3.6212 2.0907 10.8987
S 5.3083 1.1167 8.2582
S 3.6212 4.0388 8.2582
CELL_PARAMETERS angstrom
7.2424 0.0000 0.0000
-3.6212 6.2721 0.0000
0.0000 0.0000 11.4725
! calculated volume = 37.225 Å³/atom
! energy = -4.105 eV per atom
! N(E_F) = 13.5 states/eV/f.u.


! SrCa6Mg5 | Alexandria via LeMat-Bulk | GGA-PBE | relaxed; values from VASP
&SYSTEM
  ibrav = 0, nat = 12, ntyp = 3
/
ATOMIC_SPECIES
Sr 87.62 Sr.upf
Ca 40.08 Ca.upf
Mg 24.30 Mg.upf
ATOMIC_POSITIONS angstrom
Sr 0.0000 0.0000 0.0000
Ca 0.0135 2.3465 2.8776
Ca 0.0135 6.4041 2.8776
Ca 2.7800 2.4377 0.0000
Ca 2.7800 6.3129 0.0000
Ca 2.7992 2.3465 5.4462
Ca 2.7992 6.4041 5.4462
Mg 0.0000 4.3753 0.0000
Mg 0.0177 0.0000 5.5630
Mg 0.0157 4.3753 5.5594
Mg 2.7950 0.0000 2.7608
Mg 2.7970 4.3753 2.7644
CELL_PARAMETERS angstrom
5.5600 0.0000 0.0000
0.0000 8.7506 0.0000
-2.7473 0.0000 8.3238
! calculated volume = 33.749 Å³/atom
! energy = -1.841 eV per atom
! N(E_F) = 9.9 states/eV/f.u.
! formation energy from the elements = -35.5 meV/atom


! Cu5Te | Alexandria via LeMat-Bulk | GGA-PBE | relaxed; values from VASP
&SYSTEM
  ibrav = 0, nat = 6, ntyp = 2
/
ATOMIC_SPECIES
Cu 63.55 Cu.upf
Te 127.60 Te.upf
ATOMIC_POSITIONS angstrom
Cu -1.4829 2.5685 0.0000
Cu 0.0000 2.8333 2.0803
Cu 0.9708 1.6815 0.0000
Cu 2.9658 0.0000 0.0000
Cu 2.4537 1.4167 2.0803
Te 0.0000 0.0000 2.0803
CELL_PARAMETERS angstrom
4.9074 0.0000 0.0000
-2.4537 4.2500 0.0000
0.0000 0.0000 4.1606
! calculated volume = 14.462 Å³/atom
! energy above the lowest structure with this stoichiometry = 0.0247 eV/atom
! energy = -3.814 eV per atom
! N(E_F) = 2.8 states/eV/f.u.


! MgMnSi2 | Alexandria via LeMat-Bulk | GGA-PBE | relaxed; values from VASP
&SYSTEM
  ibrav = 0, nat = 4, ntyp = 3
/
ATOMIC_SPECIES
Mg 24.30 Mg.upf
Mn 54.94 Mn.upf
Si 28.09 Si.upf
ATOMIC_POSITIONS angstrom
Mg 0.0000 0.0000 0.0000
Mn 4.6723 4.6723 4.6723
Si 1.5574 1.5574 1.5574
Si 3.1149 3.1149 3.1149
CELL_PARAMETERS angstrom
0.0000 3.1149 3.1149
3.1149 0.0000 3.1149
3.1149 3.1149 0.0000
! calculated volume = 15.111 Å³/atom
! energy = -5.061 eV per atom
! N(E_F) = 1.9 states/eV/f.u.